This record from the Alexandria database describes a relaxed structure of Be3CdCu. The functional is PBE.

## Properties
M_tot in μB per formula unit: 0.0
ΔE to the lowest computed polymorph in meV/atom: 0
DOS(E_F) in states/eV/atom: 0.270

POSCAR file:
```
Be3CdCu
1.0
-2.535 1.783 -2.711
-1.936 -3.592 -0.552
-2.604 0.935 3.050
Be Cu Cd
3 1 1
Direct
0.000 0.500 0.000
0.000 0.000 0.500
0.500 0.000 0.000
0.000 0.000 0.000
0.500 0.500 0.500
```